## P
A geometry-optimized DyPuRhAu structure, computed with PBE.

Fermi-level density of states: 50.23 states/eV per cell

Structure (CIF):
```
data_DyPuRhAu
_space_group_name_H-M_alt 'F -4 3 m'
_space_group_IT_number 216
_space_group_name_Hall 'F -4 2 3'
_cell_length_a 7.062
_cell_length_b 7.062
_cell_length_c 7.062
_cell_angle_alpha 90.00
_cell_angle_beta 90.00
_cell_angle_gamma 90.00
loop_
_atom_site_label
_atom_site_type_symbol
_atom_site_fract_x
_atom_site_fract_y
_atom_site_fract_z
Dy1 Dy 0.000 0.000 0.000
Pu1 Pu 0.000 0.000 0.500
Rh1 Rh 0.250 0.250 0.250
Au1 Au 0.250 0.250 0.750
```

***

## Q
A geometry-optimized DyPuRhAu structure, computed with PBE.

Fermi-level density of states: 10.54 states/eV per cell

Structure (CIF):
```
data_DyPuRhAu
_space_group_name_H-M_alt 'P 4 m m'
_space_group_IT_number 99
_cell_length_a 3.443
_cell_length_b 3.443
_cell_length_c 7.401
_cell_angle_alpha 90.00
_cell_angle_beta 90.00
_cell_angle_gamma 90.00
loop_
_space_group_symop_operation_xyz
'x,y,z'
'-y,x,z'
'-x,-y,z'
'y,-x,z'
'-x,y,z'
'y,x,z'
'x,-y,z'
'-y,-x,z'
loop_
_atom_site_label
_atom_site_type_symbol
_atom_site_fract_x
_atom_site_fract_y
_atom_site_fract_z
Dy1 Dy 0.000 0.000 0.000
Pu1 Pu 0.000 0.000 0.461
Rh1 Rh 0.500 0.500 0.225
Au1 Au 0.500 0.500 0.746
```

***

Which structure wins on stability? Q wins.

***

## P
A geometry-optimized TbDyRhAu structure, computed with PBE.

Fermi-level density of states: 3.69 states/eV per cell

Structure (CIF):
```
data_TbDyRhAu
_space_group_name_H-M_alt 'P 4 m m'
_space_group_IT_number 99
_cell_length_a 3.540
_cell_length_b 3.540
_cell_length_c 6.974
_cell_angle_alpha 90.00
_cell_angle_beta 90.00
_cell_angle_gamma 90.00
loop_
_space_group_symop_operation_xyz
'x,y,z'
'-y,x,z'
'-x,-y,z'
'y,-x,z'
'-x,y,z'
'y,x,z'
'x,-y,z'
'-y,-x,z'
loop_
_atom_site_label
_atom_site_type_symbol
_atom_site_fract_x
_atom_site_fract_y
_atom_site_fract_z
Tb1 Tb 0.000 0.000 0.000
Dy1 Dy 0.000 0.000 0.525
Rh1 Rh 0.500 0.500 0.761
Au1 Au 0.500 0.500 0.265
```

***

## Q
A geometry-optimized TbDyRhAu structure, computed with PBE.

Fermi-level density of states: 15.54 states/eV per cell

Structure (CIF):
```
data_TbDyRhAu
_space_group_name_H-M_alt 'F -4 3 m'
_space_group_IT_number 216
_space_group_name_Hall 'F -4 2 3'
_cell_length_a 7.051
_cell_length_b 7.051
_cell_length_c 7.051
_cell_angle_alpha 90.00
_cell_angle_beta 90.00
_cell_angle_gamma 90.00
loop_
_atom_site_label
_atom_site_type_symbol
_atom_site_fract_x
_atom_site_fract_y
_atom_site_fract_z
Tb1 Tb 0.000 0.000 0.000
Dy1 Dy 0.000 0.000 0.500
Rh1 Rh 0.250 0.250 0.250
Au1 Au 0.250 0.250 0.750
```

***

Which structure wins on stability? P wins.

***

## P
A geometry-optimized DyTmRhAu structure, computed with PBE.

Fermi-level density of states: 4.55 states/eV per cell

Structure (CIF):
```
data_DyTmRhAu
_space_group_name_H-M_alt 'P 4 m m'
_space_group_IT_number 99
_cell_length_a 3.507
_cell_length_b 3.507
_cell_length_c 6.920
_cell_angle_alpha 90.00
_cell_angle_beta 90.00
_cell_angle_gamma 90.00
loop_
_space_group_symop_operation_xyz
'x,y,z'
'-y,x,z'
'-x,-y,z'
'y,-x,z'
'-x,y,z'
'y,x,z'
'x,-y,z'
'-y,-x,z'
loop_
_atom_site_label
_atom_site_type_symbol
_atom_site_fract_x
_atom_site_fract_y
_atom_site_fract_z
Dy1 Dy 0.000 0.000 0.000
Tm1 Tm 0.000 0.000 0.526
Rh1 Rh 0.500 0.500 0.759
Au1 Au 0.500 0.500 0.270
```

***

## Q
A geometry-optimized DyTmRhAu structure, computed with PBE.

Fermi-level density of states: 12.48 states/eV per cell

Structure (CIF):
```
data_DyTmRhAu
_space_group_name_H-M_alt 'F -4 3 m'
_space_group_IT_number 216
_space_group_name_Hall 'F -4 2 3'
_cell_length_a 6.990
_cell_length_b 6.990
_cell_length_c 6.990
_cell_angle_alpha 90.00
_cell_angle_beta 90.00
_cell_angle_gamma 90.00
loop_
_atom_site_label
_atom_site_type_symbol
_atom_site_fract_x
_atom_site_fract_y
_atom_site_fract_z
Dy1 Dy 0.000 0.000 0.000
Tm1 Tm 0.000 0.000 0.500
Rh1 Rh 0.250 0.250 0.250
Au1 Au 0.250 0.250 0.750
```

***

Which structure wins on stability? P wins.

***

## P
A geometry-optimized DyYRhAu structure, computed with PBE.

Fermi-level density of states: 4.01 states/eV per cell

Structure (CIF):
```
data_DyYRhAu
_space_group_name_H-M_alt 'P 4 m m'
_space_group_IT_number 99
_cell_length_a 3.542
_cell_length_b 3.542
_cell_length_c 6.952
_cell_angle_alpha 90.00
_cell_angle_beta 90.00
_cell_angle_gamma 90.00
loop_
_space_group_symop_operation_xyz
'x,y,z'
'-y,x,z'
'-x,-y,z'
'y,-x,z'
'-x,y,z'
'y,x,z'
'x,-y,z'
'-y,-x,z'
loop_
_atom_site_label
_atom_site_type_symbol
_atom_site_fract_x
_atom_site_fract_y
_atom_site_fract_z
Dy1 Dy 0.000 0.000 0.000
Y1 Y 0.000 0.000 0.525
Rh1 Rh 0.500 0.500 0.766
Au1 Au 0.500 0.500 0.261
```

***

## Q
A geometry-optimized DyYRhAu structure, computed with PBE.

Fermi-level density of states: 15.15 states/eV per cell

Structure (CIF):
```
data_DyYRhAu
_space_group_name_H-M_alt 'F -4 3 m'
_space_group_IT_number 216
_space_group_name_Hall 'F -4 2 3'
_cell_length_a 7.047
_cell_length_b 7.047
_cell_length_c 7.047
_cell_angle_alpha 90.00
_cell_angle_beta 90.00
_cell_angle_gamma 90.00
loop_
_atom_site_label
_atom_site_type_symbol
_atom_site_fract_x
_atom_site_fract_y
_atom_site_fract_z
Dy1 Dy 0.000 0.000 0.000
Y1 Y 0.000 0.000 0.500
Rh1 Rh 0.250 0.250 0.750
Au1 Au 0.250 0.250 0.250
```

***

Which structure wins on stability? P wins.

***

## P
A geometry-optimized Dy4RuAu structure, computed with PBE.

Fermi-level density of states: 10.19 states/eV per cell

Structure (CIF):
```
data_Dy4RuAu
_space_group_name_H-M_alt 'C 1 2/m 1'
_space_group_IT_number 12
_cell_length_a 6.873
_cell_length_b 6.873
_cell_length_c 6.944
_cell_angle_alpha 90.00
_cell_angle_beta 90.09
_cell_angle_gamma 90.00
loop_
_space_group_symop_operation_xyz
'x,y,z'
'-x,-y,-z'
'-x,y,-z'
'x,-y,z'
'x+1/2,y+1/2,z'
'-x+1/2,-y+1/2,-z'
'-x+1/2,y+1/2,-z'
'x+1/2,-y+1/2,z'
loop_
_atom_site_label
_atom_site_type_symbol
_atom_site_fract_x
_atom_site_fract_y
_atom_site_fract_z
Dy1 Dy 0.250 0.250 0.239
Ru1 Ru 0.000 0.000 0.000
Au1 Au 0.000 0.500 0.500
```

***

## Q
A geometry-optimized Dy4RuAu structure, computed with PBE.

Fermi-level density of states: 26.67 states/eV per cell

Structure (CIF):
```
data_Dy4RuAu
_space_group_name_H-M_alt 'C 1 2/c 1'
_space_group_IT_number 15
_cell_length_a 8.970
_cell_length_b 13.094
_cell_length_c 6.271
_cell_angle_alpha 90.00
_cell_angle_beta 120.85
_cell_angle_gamma 90.00
loop_
_space_group_symop_operation_xyz
'x,y,z'
'-x,-y,-z'
'-x,y,-z+1/2'
'x,-y,z+1/2'
'x+1/2,y+1/2,z'
'-x+1/2,-y+1/2,-z'
'-x+1/2,y+1/2,-z+1/2'
'x+1/2,-y+1/2,z+1/2'
loop_
_atom_site_label
_atom_site_type_symbol
_atom_site_fract_x
_atom_site_fract_y
_atom_site_fract_z
Dy1 Dy 0.119 0.175 0.089
Dy2 Dy 0.211 0.434 0.297
Ru1 Ru 0.000 0.002 0.750
Au1 Au 0.000 0.368 0.750
```

***

Which structure wins on stability? Q wins.

***

## P
A geometry-optimized DyYRuAu structure, computed with PBE.

Fermi-level density of states: 2.69 states/eV per cell

Structure (CIF):
```
data_DyYRuAu
_space_group_name_H-M_alt 'P 4 m m'
_space_group_IT_number 99
_cell_length_a 3.447
_cell_length_b 3.447
_cell_length_c 7.272
_cell_angle_alpha 90.00
_cell_angle_beta 90.00
_cell_angle_gamma 90.00
loop_
_space_group_symop_operation_xyz
'x,y,z'
'-y,x,z'
'-x,-y,z'
'y,-x,z'
'-x,y,z'
'y,x,z'
'x,-y,z'
'-y,-x,z'
loop_
_atom_site_label
_atom_site_type_symbol
_atom_site_fract_x
_atom_site_fract_y
_atom_site_fract_z
Dy1 Dy 0.000 0.000 0.000
Y1 Y 0.000 0.000 0.462
Ru1 Ru 0.500 0.500 0.228
Au1 Au 0.500 0.500 0.733
```

***

## Q
A geometry-optimized DyYRuAu structure, computed with PBE.

Fermi-level density of states: 8.63 states/eV per cell

Structure (CIF):
```
data_DyYRuAu
_space_group_name_H-M_alt 'F -4 3 m'
_space_group_IT_number 216
_space_group_name_Hall 'F -4 2 3'
_cell_length_a 7.009
_cell_length_b 7.009
_cell_length_c 7.009
_cell_angle_alpha 90.00
_cell_angle_beta 90.00
_cell_angle_gamma 90.00
loop_
_atom_site_label
_atom_site_type_symbol
_atom_site_fract_x
_atom_site_fract_y
_atom_site_fract_z
Dy1 Dy 0.000 0.000 0.000
Y1 Y 0.000 0.000 0.500
Ru1 Ru 0.250 0.250 0.750
Au1 Au 0.250 0.250 0.250
```

***

Which structure wins on stability? P wins.